DFT (PBE-GGA) results for Rb12I5O3 after structural relaxation.

Output
The total energy is -224.17 eV per cell. For the magnetization, the calculation gives 0.000 μB per atom. Its uncorrected formation energy is -21.8 eV/f.u. The density of states at the Fermi level is 0.07 states/eV per atom.

Cell: 17.9849 17.9849 17.9849 Å, 109.47 109.47 109.47°
Positions (direct):
1 Rb 0.0023 0.1327 0.2053
2 Rb 0.0023 0.3696 0.7969
3 Rb 0.0726 0.2053 0.7031
4 Rb 0.0726 0.3673 0.3696
5 Rb 0.1304 0.1327 0.4274
6 Rb 0.1304 0.4977 0.7031
7 Rb 0.1327 0.2053 0.0023
8 Rb 0.1327 0.4274 0.1304
9 Rb 0.2031 0.7053 0.5726
10 Rb 0.2031 0.9977 0.6304
11 Rb 0.2053 0.0023 0.1327
12 Rb 0.2053 0.7031 0.0726
13 Rb 0.2947 0.3673 0.4977
14 Rb 0.2947 0.4274 0.7969
15 Rb 0.2969 0.8696 0.5023
16 Rb 0.2969 0.9274 0.7947
17 Rb 0.3673 0.3696 0.0726
18 Rb 0.3673 0.4977 0.2947
19 Rb 0.3696 0.0726 0.3673
20 Rb 0.3696 0.7969 0.0023
21 Rb 0.4274 0.1304 0.1327
22 Rb 0.4274 0.7969 0.2947
23 Rb 0.4977 0.2947 0.3673
24 Rb 0.4977 0.7031 0.1304
25 Rb 0.5023 0.2969 0.8696
26 Rb 0.5023 0.7053 0.6327
27 Rb 0.5726 0.2031 0.7053
28 Rb 0.5726 0.8696 0.8673
29 Rb 0.6304 0.2031 0.9977
30 Rb 0.6304 0.9274 0.6327
31 Rb 0.6327 0.5023 0.7053
32 Rb 0.6327 0.6304 0.9274
33 Rb 0.7031 0.0726 0.2053
34 Rb 0.7031 0.1304 0.4977
35 Rb 0.7053 0.5726 0.2031
36 Rb 0.7053 0.6327 0.5023
37 Rb 0.7947 0.2969 0.9274
38 Rb 0.7947 0.9977 0.8673
39 Rb 0.7969 0.0023 0.3696
40 Rb 0.7969 0.2947 0.4274
41 Rb 0.8673 0.5726 0.8696
42 Rb 0.8673 0.7947 0.9977
43 Rb 0.8696 0.5023 0.2969
44 Rb 0.8696 0.8673 0.5726
45 Rb 0.9274 0.6327 0.6304
46 Rb 0.9274 0.7947 0.2969
47 Rb 0.9977 0.6304 0.2031
48 Rb 0.9977 0.8673 0.7947
49 I 0.0000 0.0000 0.0000
50 I 0.0000 0.0000 0.5000
51 I 0.0000 0.5000 0.0000
52 I 0.0000 0.5000 0.5000
53 I 0.1250 0.7500 0.8750
54 I 0.1250 0.8750 0.2500
55 I 0.2500 0.1250 0.8750
56 I 0.2500 0.6250 0.3750
57 I 0.3750 0.2500 0.6250
58 I 0.3750 0.6250 0.7500
59 I 0.5000 0.0000 0.0000
60 I 0.5000 0.0000 0.5000
61 I 0.5000 0.5000 0.0000
62 I 0.5000 0.5000 0.5000
63 I 0.6250 0.3750 0.2500
64 I 0.6250 0.7500 0.3750
65 I 0.7500 0.3750 0.6250
66 I 0.7500 0.8750 0.1250
67 I 0.8750 0.1250 0.7500
68 I 0.8750 0.2500 0.1250
69 O 0.1250 0.2500 0.3750
70 O 0.1250 0.3750 0.7500
71 O 0.2500 0.3750 0.1250
72 O 0.2500 0.8750 0.6250
73 O 0.3750 0.1250 0.2500
74 O 0.3750 0.7500 0.1250
75 O 0.6250 0.2500 0.8750
76 O 0.6250 0.8750 0.7500
77 O 0.7500 0.1250 0.3750
78 O 0.7500 0.6250 0.8750
79 O 0.8750 0.6250 0.2500
80 O 0.8750 0.7500 0.6250